Computed, not measured: crystalline Ag2PdBr at its relaxed geometry at the GGA-PBE level of DFT.

a b c (Å): 7.7900 7.7900 6.1562
angles (deg): 50.75 50.75 90.00
Closest atoms and distances in Å follow each position.
Atoms (fractional coordinates):
Ag1 0.3750 0.3647 0.7500  2 Ag 2.75, 2 Pd 2.78, 2 Br 2.89
Ag2 0.6353 0.1250 0.2500  2 Ag 2.75, 2 Pd 2.78, 2 Br 2.89
Ag3 0.1147 0.6250 0.2500  2 Ag 2.75, 2 Pd 2.78, 2 Br 2.89
Ag4 0.8750 0.8853 0.7500  2 Ag 2.75, 2 Pd 2.78, 2 Br 2.89
Pd1 0.0000 0.0000 0.0000  2 Br 2.75, 4 Ag 2.78
Pd2 0.7500 0.2500 0.5000  2 Br 2.75, 4 Ag 2.78
Br1 0.5000 0.5000 0.0000  2 Pd 2.75, 4 Ag 2.89
Br2 0.2500 0.7500 0.5000  2 Pd 2.75, 4 Ag 2.89

density of states at the Fermi level: 1.5 states/eV/f.u.
uncorrected formation energy: 0.25 eV/atom
relative energy among the computed polymorphs: 0.0243 eV per atom
magnetic moment: 0.0 μB/f.u.
final energy: -2.8968 eV per atom

---

Computed, not measured: crystalline Ag2PdBr4 at its relaxed geometry at the GGA-PBE level of DFT.

a b c (Å): 6.9824 6.9824 6.3021
angles (deg): 123.64 123.64 90.00
Closest atoms and distances in Å follow each position.
Atoms (fractional coordinates):
Pd1 0.5000 0.5000 0.0000  4 Br 2.47
Br1 0.8082 0.3185 0.1268  1 Pd 2.47
Br2 0.6815 0.6815 0.8732  1 Pd 2.47
Br3 0.1918 0.1918 0.8732  1 Pd 2.47
Br4 0.3185 0.8082 0.1268  1 Pd 2.47
Ag1 0.7500 0.2500 0.5000  4 Br 2.87
Ag2 0.2500 0.7500 0.5000  4 Br 2.87

uncorrected formation energy: -0.23 eV/atom
magnetic moment: 0.0 μB/f.u.
final energy: -2.7448 eV per atom

---

Computed, not measured: crystalline AgPd3Br at its relaxed geometry at the GGA-PBE level of DFT.

a b c (Å): 4.9810 4.9810 4.9810
angles (deg): 90.00 90.00 90.00
Closest atoms and distances in Å follow each position.
Atoms (fractional coordinates):
Pd1 0.0000 0.5000 0.0000  2 Ag 2.49
Pd2 0.0000 0.0000 0.5000  2 Ag 2.49
Pd3 0.5000 0.0000 0.0000  2 Ag 2.49
Br1 0.5000 0.5000 0.5000  12 Pd 3.52
Ag1 0.0000 0.0000 0.0000  6 Pd 2.49

density of states at the Fermi level: 5.7 states/eV/f.u.
uncorrected formation energy: 1.02 eV/atom
relative energy among the computed polymorphs: 0.5107 eV per atom
magnetic moment: 0.0 μB/f.u.
final energy: -3.0036 eV per atom

---

Computed, not measured: crystalline Ag2PdBr at its relaxed geometry at the GGA-PBE level of DFT.

a b c (Å): 4.7906 4.7906 4.7906
angles (deg): 60.00 60.00 60.00
Closest atoms and distances in Å follow each position.
Atoms (fractional coordinates):
Ag1 0.2500 0.2500 0.2500  4 Br 2.93, 4 Pd 2.93
Ag2 0.7500 0.7500 0.7500  4 Br 2.93, 4 Pd 2.93
Br1 0.0000 0.0000 0.0000  8 Ag 2.93
Pd1 0.5000 0.5000 0.5000  8 Ag 2.93

density of states at the Fermi level: 1.1 states/eV/f.u.
uncorrected formation energy: 0.22 eV/atom
relative energy among the computed polymorphs: 0.0000 eV per atom
magnetic moment: 0.0 μB/f.u.
final energy: -2.9211 eV per atom

---

Computed, not measured: crystalline Ag3Pd5Br12 at its relaxed geometry at the GGA-PBE level of DFT.

a b c (Å): 14.3784 14.3784 14.3784
angles (deg): 109.47 109.47 109.47
Closest atoms and distances in Å follow each position.
Atoms (fractional coordinates):
Br1 0.0493 0.1671 0.1866  2 Pd 2.51-2.60
Br2 0.1671 0.1178 0.9805  2 Pd 2.51-2.60
Br3 0.3627 0.3822 0.0493  2 Pd 2.51-2.60
Br4 0.8822 0.0493 0.8627  2 Pd 2.51-2.60
Br5 0.6866 0.1373 0.0195  2 Pd 2.51-2.60
Br6 0.1178 0.9507 0.1373  2 Pd 2.51-2.60
Br7 0.6178 0.6373 0.4507  2 Pd 2.51-2.60
Br8 0.1178 0.1671 0.4805  2 Pd 2.51-2.60
Br9 0.6866 0.5493 0.1671  2 Pd 2.51-2.60
Br10 0.8822 0.8329 0.5195  2 Pd 2.51-2.60
Br11 0.1671 0.0493 0.6866  2 Pd 2.51-2.60
Br12 0.3329 0.5195 0.3822  2 Pd 2.51-2.60
Br13 0.0195 0.6373 0.6866  2 Pd 2.51-2.60
Br14 0.1373 0.6866 0.5195  2 Pd 2.51-2.60
Br15 0.4805 0.8134 0.8627  2 Pd 2.51-2.60
Br16 0.1866 0.6671 0.0493  2 Pd 2.51-2.60
Br17 0.3822 0.0195 0.3329  2 Pd 2.51-2.60
Br18 0.0493 0.8822 0.3627  2 Pd 2.51-2.60
Br19 0.4805 0.6671 0.1178  2 Pd 2.51-2.60
Br20 0.0195 0.3822 0.8329  2 Pd 2.51-2.60
Br21 0.5195 0.3329 0.8822  2 Pd 2.51-2.60
Br22 0.6373 0.6178 0.9507  2 Pd 2.51-2.60
Br23 0.8329 0.9507 0.3134  2 Pd 2.51-2.60
Br24 0.3627 0.9805 0.8134  2 Pd 2.51-2.60
Br25 0.8329 0.8822 0.0195  2 Pd 2.51-2.60
Br26 0.8627 0.3134 0.4805  2 Pd 2.51-2.60
Br27 0.9507 0.8329 0.8134  2 Pd 2.51-2.60
Br28 0.4507 0.1373 0.6178  2 Pd 2.51-2.60
Br29 0.3822 0.3627 0.5493  2 Pd 2.51-2.60
Br30 0.9507 0.1178 0.6373  2 Pd 2.51-2.60
Br31 0.5195 0.1866 0.1373  2 Pd 2.51-2.60
Br32 0.1866 0.5195 0.6373  2 Pd 2.51-2.60
Br33 0.3134 0.8627 0.9805  2 Pd 2.51-2.60
Br34 0.8627 0.5493 0.8822  2 Pd 2.51-2.60
Br35 0.9805 0.6178 0.1671  2 Pd 2.51-2.60
Br36 0.8134 0.4805 0.3627  2 Pd 2.51-2.60
Br37 0.3329 0.8134 0.4507  2 Pd 2.51-2.60
Br38 0.6373 0.0195 0.1866  2 Pd 2.51-2.60
Br39 0.9805 0.3627 0.3134  2 Pd 2.51-2.60
Br40 0.1373 0.4507 0.1178  2 Pd 2.51-2.60
Br41 0.6671 0.4805 0.6178  2 Pd 2.51-2.60
Br42 0.6178 0.9805 0.6671  2 Pd 2.51-2.60
Br43 0.5493 0.8627 0.3822  2 Pd 2.51-2.60
Br44 0.3134 0.4507 0.8329  2 Pd 2.51-2.60
Br45 0.5493 0.6866 0.6671  2 Pd 2.51-2.60
Br46 0.4507 0.3134 0.3329  2 Pd 2.51-2.60
Br47 0.8134 0.3329 0.9507  2 Pd 2.51-2.60
Br48 0.6671 0.1866 0.5493  2 Pd 2.51-2.60
Pd1 0.3750 0.1250 0.7500  4 Br 2.51
Pd2 0.0000 0.5000 0.0000  6 Br 2.60
Pd3 0.0000 0.5000 0.5000  6 Br 2.60
Pd4 0.2500 0.8750 0.1250  4 Br 2.51
Pd5 0.0000 0.0000 0.0000  6 Br 2.60
Pd6 0.6250 0.8750 0.2500  4 Br 2.51
Pd7 0.5000 0.5000 0.0000  6 Br 2.60
Pd8 0.5000 0.0000 0.0000  6 Br 2.60
Pd9 0.8750 0.6250 0.7500  4 Br 2.51
Pd10 0.1250 0.7500 0.3750  4 Br 2.51
Pd11 0.8750 0.2500 0.6250  4 Br 2.51
Pd12 0.2500 0.3750 0.6250  4 Br 2.51
Pd13 0.3750 0.2500 0.1250  4 Br 2.51
Pd14 0.1250 0.3750 0.2500  4 Br 2.51
Pd15 0.7500 0.6250 0.3750  4 Br 2.51
Pd16 0.0000 0.0000 0.5000  6 Br 2.60
Pd17 0.5000 0.5000 0.5000  6 Br 2.60
Pd18 0.7500 0.1250 0.8750  4 Br 2.51
Pd19 0.5000 0.0000 0.5000  6 Br 2.60
Pd20 0.6250 0.7500 0.8750  4 Br 2.51
Ag1 0.7500 0.8750 0.6250  4 Br 2.89
Ag2 0.6250 0.3750 0.7500  4 Br 2.89
Ag3 0.6250 0.2500 0.3750  4 Br 2.89
Ag4 0.1250 0.8750 0.7500  4 Br 2.89
Ag5 0.1250 0.2500 0.8750  4 Br 2.89
Ag6 0.2500 0.6250 0.8750  4 Br 2.89
Ag7 0.8750 0.1250 0.2500  4 Br 2.89
Ag8 0.2500 0.1250 0.3750  4 Br 2.89
Ag9 0.3750 0.7500 0.6250  4 Br 2.89
Ag10 0.8750 0.7500 0.1250  4 Br 2.89
Ag11 0.3750 0.6250 0.2500  4 Br 2.89
Ag12 0.7500 0.3750 0.1250  4 Br 2.89

density of states at the Fermi level: 11.7 states/eV/f.u.
uncorrected formation energy: -0.15 eV/atom
magnetic moment: 0.0 μB/f.u.
final energy: -2.8760 eV per atom

---

Computed, not measured: crystalline Ag2Pd2Br at its relaxed geometry at the GGA-PBE level of DFT.

a b c (Å): 6.9994 6.9994 3.8938
angles (deg): 90.00 90.00 90.00
Closest atoms and distances in Å follow each position.
Atoms (fractional coordinates):
Pd1 0.3513 0.8513 0.0000  2 Br 2.67, 6 Ag 2.80-2.84, 1 Pd 2.94
Pd2 0.6487 0.1487 0.0000  2 Br 2.67, 6 Ag 2.80-2.84, 1 Pd 2.94
Pd3 0.1487 0.3513 0.0000  2 Br 2.67, 6 Ag 2.80-2.84, 1 Pd 2.94
Pd4 0.8513 0.6487 0.0000  2 Br 2.67, 6 Ag 2.80-2.84, 1 Pd 2.94
Ag1 0.8525 0.3525 0.5000  6 Pd 2.80-2.84, 1 Ag 2.92
Ag2 0.3525 0.1475 0.5000  6 Pd 2.80-2.84, 1 Ag 2.92
Ag3 0.1475 0.6475 0.5000  6 Pd 2.80-2.84, 1 Ag 2.92
Ag4 0.6475 0.8525 0.5000  6 Pd 2.80-2.84, 1 Ag 2.92
Br1 0.0000 0.0000 0.0000  4 Pd 2.67
Br2 0.5000 0.5000 0.0000  4 Pd 2.67

density of states at the Fermi level: 4.0 states/eV/f.u.
uncorrected formation energy: 0.13 eV/atom
relative energy among the computed polymorphs: 0.0000 eV per atom
magnetic moment: 0.0 μB/f.u.
final energy: -3.4210 eV per atom

---

Computed, not measured: crystalline Ag2PdBr4 at its relaxed geometry at the GGA-PBE level of DFT.

a b c (Å): 3.9959 6.9062 6.9515
angles (deg): 78.14 106.70 90.00
Closest atoms and distances in Å follow each position.
Atoms (fractional coordinates):
Br1 0.3896 0.8633 0.7793  2 Pd 2.76, 3 Ag 2.83-3.02
Br2 0.6104 0.1367 0.2207  2 Pd 2.76, 3 Ag 2.83-3.02
Br3 0.8700 0.3342 0.7401  1 Pd 2.57, 2 Ag 2.81
Br4 0.1300 0.6658 0.2599  1 Pd 2.57, 2 Ag 2.81
Ag1 0.7640 0.7454 0.5281  6 Br 2.81-3.02
Ag2 0.2360 0.2546 0.4719  6 Br 2.81-3.02
Pd1 0.0000 0.0000 0.0000  6 Br 2.57-2.76

density of states at the Fermi level: 4.4 states/eV/f.u.
uncorrected formation energy: -0.23 eV/atom
magnetic moment: 0.0 μB/f.u.
final energy: -2.7462 eV per atom

---

Computed, not measured: crystalline AgPdBr2 at its relaxed geometry at the GGA-PBE level of DFT.

a b c (Å): 8.1727 8.1727 8.1727
angles (deg): 29.24 29.24 29.24
Closest atoms and distances in Å follow each position.
Atoms (fractional coordinates):
Br1 0.8931 0.8931 0.8931  1 Ag 2.51, 3 Pd 2.76
Br2 0.1069 0.1069 0.1069  1 Ag 2.51, 3 Pd 2.76
Ag1 0.0000 0.0000 0.0000  2 Br 2.51
Pd1 0.5000 0.5000 0.5000  6 Br 2.76

density of states at the Fermi level: 1.8 states/eV/f.u.
uncorrected formation energy: 0.00 eV/atom
relative energy among the computed polymorphs: 0.0459 eV per atom
magnetic moment: 1.0 μB/f.u.
final energy: -2.8468 eV per atom

---

> Number 2 is which compound?

Ag2PdBr4